# TiBiC2S

TiBiC2S after structural relaxation (GGA-PBE, Alexandria via LeMat-Bulk).

Geometry as POSCAR:
```
TiBiC2S
1.0
-1.823 -3.907 -0.331
3.434 -1.896 3.471
-2.709 0.991 3.221
C S Bi Ti
2 1 1 1
direct
0.000 0.000 0.500 C
0.500 0.000 0.000 C
0.000 0.500 0.000 S
0.000 0.000 0.000 Bi
0.500 0.500 0.500 Ti
```

Results
Symmetry   No. 123
ΔE_f (raw)   2302 meV/atom